Record 1
Compound: Ho2AsRu
Source: Alexandria via LeMat-Bulk
Functional: GGA-PBE
Structure: optimized geometry

Calculated values
The density of states at the Fermi level comes out at 2.90 states/eV/f.u. Its space group is No. 123. The calculation puts the total energy at -26.0 eV for the cell shown.

Cell and atoms, written as extended XYZ:
```
4
Lattice="-1.5677 2.9815 -1.0493 0.7177 -0.8049 -3.3593 -5.8700 -3.2536 -0.4745" Properties=species:S:1:pos:R:3 pbc="T T T"
Ho -1.4331 -0.7943 -0.1158
Ho -4.4369 -2.4593 -0.3586
As -3.3601 -0.5385 -2.4415
Ru -0.4250 1.0883 -2.2043
```



Record 2
Compound: Tb3DyTl3Se8
Source: Alexandria via LeMat-Bulk
Functional: GGA-PBE
Structure: optimized geometry

Calculated values
For the uncorrected formation energy, the calculation gives -1394 meV per atom. The density of states at the Fermi level comes out at 7.26 states/eV/f.u. Its space group is No. 166.

Cell and atoms, written as extended XYZ:
```
15
Lattice="8.3577 0.0000 0.0000 -4.1788 7.2389 -0.0275 0.0000 -4.7980 7.6600" Properties=species:S:1:pos:R:3 pbc="T T T"
Dy 0.0000 -2.3990 3.8300
Se 4.1788 2.4256 2.2308
Se 0.0000 0.0152 5.4017
Se 2.0943 3.6430 5.3868
Se 2.0845 -1.2022 2.2457
Se 6.2731 -1.2022 2.2457
Se -2.0943 3.6430 5.3868
Se 4.1788 0.0224 5.4164
Se 0.0000 2.4184 2.2161
Tb 2.0894 1.2204 3.8162
Tb 4.1788 -2.3990 3.8300
Tb -2.0894 1.2204 3.8162
Tl 0.0000 0.0000 0.0000
Tl 2.0894 3.6194 -0.0138
Tl -2.0894 3.6194 -0.0138
```



Record 3
Compound: NdDyTe2Br
Source: Alexandria via LeMat-Bulk
Functional: GGA-PBE
Structure: optimized geometry

Calculated values
For the uncorrected formation energy, the calculation gives -1433 meV per atom. The density of states at the Fermi level comes out at 1.54 states/eV/f.u. Its space group is No. 129.

Cell and atoms, written as extended XYZ:
```
10
Lattice="4.4414 0.0000 0.0000 0.0000 4.4414 0.0000 0.0000 0.0000 15.0951" Properties=species:S:1:pos:R:3 pbc="T T T"
Te 0.0000 2.2207 10.6954
Te 2.2207 0.0000 4.3998
Te 0.0000 2.2207 1.8169
Te 2.2207 0.0000 13.2782
Br 2.2207 2.2207 7.5476
Br 0.0000 0.0000 7.5476
Dy 2.2207 0.0000 1.2757
Dy 0.0000 2.2207 13.8194
Nd 0.0000 2.2207 5.3909
Nd 2.2207 0.0000 9.7042
```